[1]
# CdAuSN2, optimized geometry, DFT PBEsol
data_CdAuSN2
_chemical_formula_sum 'Cd1 Au1 S1 N2'
_space_group_name_H-M_alt 'P 4/m m m'
_space_group_IT_number 123
_space_group_name_Hall '-P 4 2'
_cell_length_a 3.757
_cell_length_b 3.757
_cell_length_c 6.900
_cell_angle_alpha 90.00
_cell_angle_beta 90.00
_cell_angle_gamma 90.00
loop_
_atom_site_label
_atom_site_fract_x
_atom_site_fract_y
_atom_site_fract_z
Cd1 0.000 0.000 0.000
Au1 0.500 0.500 0.500
S1 0.500 0.500 0.000
N1 0.000 0.500 0.500
# E_tot (eV per atom): -3.894
# Spin magnetization (Bohr magnetons per cell): 0.0
# Calculated volume (Å³/atom): 19.47
# Energy relative to the elements, uncorrected (eV per atom): 1.418


[2]
# K2SbBr, optimized geometry, DFT PBEsol
data_K2SbBr
_chemical_formula_sum 'K4 Sb2 Br2'
_space_group_name_H-M_alt 'I -4 m 2'
_space_group_IT_number 119
_space_group_name_Hall 'I -4 -2'
_cell_length_a 4.783
_cell_length_b 4.783
_cell_length_c 12.917
_cell_angle_alpha 90.00
_cell_angle_beta 90.00
_cell_angle_gamma 90.00
loop_
_atom_site_label
_atom_site_fract_x
_atom_site_fract_y
_atom_site_fract_z
K1 0.000 0.000 0.000
K2 0.000 0.500 0.250
Sb1 0.000 0.000 0.500
Br1 0.000 0.500 0.750
# E_tot (eV per atom): -2.703
# Spin magnetization (Bohr magnetons per cell): 3.8
# Calculated volume (Å³/atom): 36.94
# Energy relative to the elements, uncorrected (eV per atom): -0.529


[3]
# LiFeCl3, optimized geometry, DFT PBEsol
data_LiFeCl3
_chemical_formula_sum 'Li1 Fe1 Cl3'
_space_group_name_H-M_alt 'P m -3 m'
_space_group_IT_number 221
_space_group_name_Hall '-P 4 2 3'
_cell_length_a 4.776
_cell_length_b 4.776
_cell_length_c 4.776
_cell_angle_alpha 90.00
_cell_angle_beta 90.00
_cell_angle_gamma 90.00
loop_
_atom_site_label
_atom_site_fract_x
_atom_site_fract_y
_atom_site_fract_z
Li1 0.000 0.000 0.000
Fe1 0.500 0.500 0.500
Cl1 0.000 0.500 0.500
# E_tot (eV per atom): -4.243
# Spin magnetization (Bohr magnetons per cell): 4.0
# Calculated volume (Å³/atom): 21.79
# Energy relative to the elements, uncorrected (eV per atom): -0.852


[4]
# SiAs2Os, optimized geometry, DFT PBEsol
data_SiAs2Os
_chemical_formula_sum 'Si1 As2 Os1'
_space_group_name_H-M_alt 'P 4 m m'
_space_group_IT_number 99
_cell_length_a 3.029
_cell_length_b 3.029
_cell_length_c 6.987
_cell_angle_alpha 90.00
_cell_angle_beta 90.00
_cell_angle_gamma 90.00
loop_
_space_group_symop_operation_xyz
'x,y,z'
'-y,x,z'
'-x,-y,z'
'y,-x,z'
'-x,y,z'
'y,x,z'
'x,-y,z'
'-y,-x,z'
loop_
_atom_site_label
_atom_site_fract_x
_atom_site_fract_y
_atom_site_fract_z
Si1 0.000 0.000 0.000
As1 0.000 0.000 0.573
As2 0.500 0.500 0.206
Os1 0.500 0.500 0.801
# E_tot (eV per atom): -6.934
# Spin magnetization (Bohr magnetons per cell): 0.0
# Calculated volume (Å³/atom): 16.03
# Energy relative to the elements, uncorrected (eV per atom): 0.109


[5]
# CaYW, optimized geometry, DFT PBEsol
data_CaYW
_chemical_formula_sum 'Ca4 Y4 W4'
_space_group_name_H-M_alt 'F -4 3 m'
_space_group_IT_number 216
_space_group_name_Hall 'F -4 2 3'
_cell_length_a 7.006
_cell_length_b 7.006
_cell_length_c 7.006
_cell_angle_alpha 90.00
_cell_angle_beta 90.00
_cell_angle_gamma 90.00
loop_
_atom_site_label
_atom_site_fract_x
_atom_site_fract_y
_atom_site_fract_z
Ca1 0.000 0.000 0.000
Y1 0.000 0.000 0.500
W1 0.250 0.250 0.750
# E_tot (eV per atom): -6.251
# Spin magnetization (Bohr magnetons per cell): 9.1
# Calculated volume (Å³/atom): 28.65


[6]
# As5W3, optimized geometry, DFT PBEsol
data_As5W3
_chemical_formula_sum 'As10 W6'
_space_group_name_H-M_alt 'C m m m'
_space_group_IT_number 65
_space_group_name_Hall '-C 2 2'
_cell_length_a 6.281
_cell_length_b 9.105
_cell_length_c 4.428
_cell_angle_alpha 90.00
_cell_angle_beta 90.00
_cell_angle_gamma 90.00
loop_
_atom_site_label
_atom_site_fract_x
_atom_site_fract_y
_atom_site_fract_z
As1 0.000 0.000 0.000
As2 0.234 0.500 0.500
As3 0.250 0.250 0.000
W1 0.000 0.268 0.500
W2 0.000 0.500 0.000
# E_tot (eV per atom): -7.975
# Spin magnetization (Bohr magnetons per cell): 0.0
# Calculated volume (Å³/atom): 15.83


[7]
# TbRe2SiC, optimized geometry, DFT PBEsol
data_TbRe2SiC
_chemical_formula_sum 'Tb4 Re8 Si4 C4'
_space_group_name_H-M_alt 'C m c m'
_space_group_IT_number 63
_space_group_name_Hall '-C 2c 2'
_cell_length_a 3.923
_cell_length_b 10.833
_cell_length_c 7.229
_cell_angle_alpha 90.00
_cell_angle_beta 90.00
_cell_angle_gamma 90.00
loop_
_atom_site_label
_atom_site_fract_x
_atom_site_fract_y
_atom_site_fract_z
Tb1 0.000 0.043 0.250
Re1 0.000 0.326 0.062
Si1 0.000 0.236 0.750
C1 0.000 0.500 0.000
# E_tot (eV per atom): -9.905
# Spin magnetization (Bohr magnetons per cell): 0.0
# Calculated volume (Å³/atom): 15.36
# Energy relative to the elements, uncorrected (eV per atom): -0.492


[8]
# SmPtF7, optimized geometry, DFT PBEsol
data_SmPtF7
_chemical_formula_sum 'Sm4 Pt4 F28'
_space_group_name_H-M_alt 'P 1 21/c 1'
_space_group_IT_number 14
_cell_length_a 8.947
_cell_length_b 5.505
_cell_length_c 11.998
_cell_angle_alpha 90.00
_cell_angle_beta 118.12
_cell_angle_gamma 90.00
loop_
_space_group_symop_operation_xyz
'x,y,z'
'-x,-y,-z'
'-x,y+1/2,-z+1/2'
'x,-y+1/2,z+1/2'
loop_
_atom_site_label
_atom_site_fract_x
_atom_site_fract_y
_atom_site_fract_z
Sm1 0.188 0.239 0.264
Pt1 0.273 0.744 0.042
F1 0.027 0.744 0.950
F2 0.035 0.598 0.731
F3 0.257 0.559 0.174
F4 0.273 0.039 0.131
F5 0.281 0.056 0.460
F6 0.293 0.565 0.414
F7 0.482 0.233 0.360
# E_tot (eV per atom): -5.431
# Spin magnetization (Bohr magnetons per cell): 0.0
# Calculated volume (Å³/atom): 14.48
# Energy relative to the elements, uncorrected (eV per atom): -2.592


[9]
# Cs3HgS, optimized geometry, DFT PBEsol
data_Cs3HgS
_chemical_formula_sum 'Cs3 Hg1 S1'
_space_group_name_H-M_alt 'P m -3 m'
_space_group_IT_number 221
_space_group_name_Hall '-P 4 2 3'
_cell_length_a 6.514
_cell_length_b 6.514
_cell_length_c 6.514
_cell_angle_alpha 90.00
_cell_angle_beta 90.00
_cell_angle_gamma 90.00
loop_
_atom_site_label
_atom_site_fract_x
_atom_site_fract_y
_atom_site_fract_z
Cs1 0.000 0.000 0.500
Hg1 0.000 0.000 0.000
S1 0.500 0.500 0.500
# E_tot (eV per atom): -1.638
# Spin magnetization (Bohr magnetons per cell): 0.0
# Calculated volume (Å³/atom): 55.29
# Energy relative to the elements, uncorrected (eV per atom): -0.083


[10]
# NaSiNi2Rh, optimized geometry, DFT PBEsol
data_NaSiNi2Rh
_chemical_formula_sum 'Na1 Si1 Ni2 Rh1'
_space_group_name_H-M_alt 'P 4/m m m'
_space_group_IT_number 123
_space_group_name_Hall '-P 4 2'
_cell_length_a 4.641
_cell_length_b 4.641
_cell_length_c 4.406
_cell_angle_alpha 90.00
_cell_angle_beta 90.00
_cell_angle_gamma 90.00
loop_
_atom_site_label
_atom_site_fract_x
_atom_site_fract_y
_atom_site_fract_z
Na1 0.000 0.000 0.000
Si1 0.500 0.500 0.000
Ni1 0.000 0.500 0.500
Rh1 0.500 0.500 0.500
# E_tot (eV per atom): -4.880
# Spin magnetization (Bohr magnetons per cell): 2.4
# Calculated volume (Å³/atom): 18.98
# Energy relative to the elements, uncorrected (eV per atom): 0.640


[11]
# Fe3Co4, optimized geometry, DFT PBEsol
data_Fe3Co4
_chemical_formula_sum 'Fe9 Co12'
_space_group_name_H-M_alt 'R 3 m'
_space_group_IT_number 160
_space_group_name_Hall 'R 3 -2"'
_cell_length_a 3.9422
_cell_length_b 3.9422
_cell_length_c 16.8838
_cell_angle_alpha 90.00
_cell_angle_beta 90.00
_cell_angle_gamma 120.00
loop_
_atom_site_label
_atom_site_fract_x
_atom_site_fract_y
_atom_site_fract_z
Fe1 0.0000 0.0000 0.0000
Fe2 0.0000 0.0000 0.1444
Fe3 0.0000 0.0000 0.7152
Co1 0.0000 0.0000 0.2856
Co2 0.0000 0.0000 0.4302
Co3 0.0000 0.0000 0.5741
Co4 0.0000 0.0000 0.8575
# E_tot (eV per atom): -8.222
# Spin magnetization (Bohr magnetons per cell): 43.9
# Calculated volume (Å³/atom): 10.82


[12]
# Sr2AlNi, optimized geometry, DFT PBEsol
data_Sr2AlNi
_chemical_formula_sum 'Sr4 Al2 Ni2'
_space_group_name_H-M_alt 'C 1 2/m 1'
_space_group_IT_number 12
_cell_length_a 6.758
_cell_length_b 3.986
_cell_length_c 9.002
_cell_angle_alpha 90.00
_cell_angle_beta 105.30
_cell_angle_gamma 90.00
loop_
_space_group_symop_operation_xyz
'x,y,z'
'-x,-y,-z'
'-x,y,-z'
'x,-y,z'
'x+1/2,y+1/2,z'
'-x+1/2,-y+1/2,-z'
'-x+1/2,y+1/2,-z'
'x+1/2,-y+1/2,z'
loop_
_atom_site_label
_atom_site_fract_x
_atom_site_fract_y
_atom_site_fract_z
Sr1 0.235 0.000 0.206
Al1 0.000 0.000 0.500
Ni1 0.000 0.500 0.000
# E_tot (eV per atom): -3.194
# Spin magnetization (Bohr magnetons per cell): 0.0
# Calculated volume (Å³/atom): 29.24